No. 1
4
Lattice="-3.154 1.385 -0.422 -2.812 -2.032 0.083 -2.657 1.088 9.167" Properties=species:S:1:pos:R:3 comment="LaHf2S (PBE, relaxed)" dos_ef_per_ev_atom=1.028 pbc="T T T"
S -4.312 0.221 4.414
Hf -2.427 0.640 5.980
Hf -6.196 -0.199 2.848
La 0.000 0.000 0.000

No. 2
8
Lattice="4.228 0.000 0.000 0.000 4.228 0.000 2.114 2.114 10.189" Properties=species:S:1:pos:R:3 comment="LaHf2S (PBE, relaxed)" dos_ef_per_ev_atom=1.196 pbc="T T T"
S 2.114 2.114 0.000
S 2.114 4.228 5.095
Hf 3.078 1.057 2.547
Hf 1.150 3.171 2.547
Hf 3.171 3.264 7.642
Hf 5.284 5.191 7.642
La 0.000 0.000 0.000
La 4.228 2.114 5.095

No. 3
32
Lattice="-4.683 5.356 -2.096 -6.375 -4.894 1.735 -0.182 4.055 10.770" Properties=species:S:1:pos:R:3 comment="La2HfS5 (PBE, relaxed)" e_above_lowest_polymorph_mev_per_atom=0.0 pbc="T T T"
La -9.042 -0.562 4.103
La -7.755 5.950 7.823
La -5.368 2.646 7.169
La -0.314 1.002 1.724
La -2.197 5.080 6.306
La -3.485 -1.432 2.587
La -5.871 1.872 3.240
La -10.926 3.516 8.686
Hf -5.204 -1.298 6.439
Hf -6.969 2.644 11.074
Hf -6.035 5.816 3.971
Hf -4.270 1.873 -0.665
S -7.364 4.119 5.365
S -9.339 -0.811 1.038
S -1.121 2.513 4.294
S -4.654 3.214 10.121
S -3.875 0.399 5.044
S -1.900 5.328 9.371
S -10.119 2.004 6.115
S -6.585 1.304 0.288
S -8.875 2.200 2.819
S -7.914 3.025 8.674
S -2.364 2.318 7.591
S -3.325 1.493 1.735
S -6.927 0.687 5.708
S -5.248 0.689 11.885
S -4.312 3.831 4.702
S -5.992 3.828 -1.476
S -5.650 0.042 8.581
S -6.420 -1.001 2.810
S -5.590 4.476 1.829
S -4.819 5.519 7.599

| no. | formation energy from raw total energies (eV per atom) | magnetization (μB/f.u.) |
| --- | --- | --- |
| 1 | -0.30 | 0.09 |
| 2 | -0.21 | 0.00 |
| 3 | -1.99 | 0.00 |